{
  "formula": "Al2HgPt",
  "functional": "GGA-PBE",
  "state": "optimized geometry",
  "lattice": [[3.3308, 0.0000, 0.0000], [0.0000, 4.7092, 0.0000], [-0.9414, 0.0000, 4.7534]],
  "species": ["Al", "Al", "Hg", "Pt"],
  "frac_coords": [[0.0000, 0.0000, 0.0000], [0.4984, 0.5000, 0.1977], [0.9201, 0.5000, 0.7227], [0.6266, 0.0000, 0.3920]],
  "energy_ev_per_atom": -3.7756,
  "rho_g_cm3": 10.0,
  "magnetic_moment_mub_per_cell": 0.00
}